The following is a DFT calculation (GGA-PBE) of a relaxed ScCr2In crystal.

The structure in POSCAR format:
```
ScCr2In
1.0
-1.510 -1.651 -2.112
1.153 -2.589 1.199
-5.677 -0.477 4.430
Sc In Cr
1 1 2
Cartesian
-4.652 -2.496 3.035
-2.644 -0.222 2.064
-0.251 -0.021 0.196
-1.325 -2.216 0.438
```

Results
The value obtained for the total magnetic moment is 0.61 μB/cell. As for the final energy: -28.1 eV per cell. The calculation puts the density of states at the Fermi level at 3.39 states/eV/f.u. Its symmetry is No. 99.

---

The following is a DFT calculation (GGA-PBE) of a relaxed Nd6Sm3Ho2Er crystal.

The structure in POSCAR format:
```
Nd6Sm3Ho2Er
1.0
6.299 -0.001 0.009
-3.149 5.456 0.009
-1.063 -1.841 11.755
Sm Er Nd Ho
3 1 6 2
Cartesian
4.193 -0.013 5.886
1.043 1.807 5.886
-2.106 3.626 5.886
0.000 0.000 0.000
2.097 -0.004 2.906
-0.010 3.617 8.866
3.138 1.799 8.866
-1.051 1.814 2.906
2.098 3.633 2.915
-0.012 -0.020 8.857
0.000 3.637 0.009
3.150 1.818 0.009
```

Results
The value obtained for the total magnetic moment is 0.00 μB/cell. As for the final energy: -56.3 eV per cell. The calculation puts the density of states at the Fermi level at 14.73 states/eV/f.u. Its symmetry is No. 12.

---

The following is a DFT calculation (GGA-PBE) of a relaxed LuAsH crystal.

The structure in POSCAR format:
```
LuAsH
1.0
-1.676 -0.887 -2.446
2.022 -2.275 -0.561
-2.825 -1.501 4.439
As Lu H
1 1 1
Cartesian
-0.023 -0.026 0.025
-0.966 -2.904 -0.243
-1.491 -1.732 1.650
```

Results
The value obtained for the energy above the most stable polymorph in this dataset is 353.7 meV per atom. The value obtained for the total magnetic moment is 0.00 μB/cell. As for the final energy: -13.8 eV per cell. The calculation puts the density of states at the Fermi level at 1.10 states/eV/f.u. Its symmetry is No. 107.

---

The following is a DFT calculation (GGA-PBE) of a relaxed BaIrPb3 crystal.

The structure in POSCAR format:
```
BaIrPb3
1.0
-4.319 4.004 1.714
-4.351 -3.851 -1.966
-0.207 -2.600 5.552
Pb Ir Ba
3 1 1
Cartesian
-2.175 -1.926 -0.983
-0.104 -1.300 2.776
-2.160 2.002 0.857
-4.439 -1.223 2.650
0.000 0.000 0.000
```

Results
The value obtained for the total magnetic moment is 1.57 μB/cell. As for the final energy: -12.3 eV per cell. The calculation puts the density of states at the Fermi level at 9.01 states/eV/f.u. Its symmetry is No. 221.

---

The following is a DFT calculation (GGA-PBE) of a relaxed TbPrNiRh crystal.

The structure in POSCAR format:
```
TbPrNiRh
1.0
4.936 0.000 0.000
2.468 4.274 0.000
2.468 1.425 4.030
Rh Pr Ni Tb
1 1 1 1
Cartesian
7.403 4.274 3.022
4.936 2.850 2.015
2.468 1.425 1.007
0.000 0.000 0.000
```

Results
The value obtained for the energy above the most stable polymorph in this dataset is 70.0 meV per atom. The value obtained for the total magnetic moment is 0.00 μB/cell. As for the final energy: -24.5 eV per cell. The calculation puts the density of states at the Fermi level at 3.07 states/eV/f.u. Its symmetry is No. 216.

---

The following is a DFT calculation (GGA-PBE) of a relaxed YInSe3 crystal.

The structure in POSCAR format:
```
YInSe3
1.0
-4.131 0.064 2.705
2.032 -4.439 3.208
2.307 4.132 3.424
Se Y In
3 1 1
Cartesian
0.690 -2.907 5.630
2.239 2.009 3.371
-0.658 -2.811 3.569
0.210 3.199 4.752
2.134 -1.259 3.288
```

Results
The value obtained for the energy above the most stable polymorph in this dataset is 462.4 meV per atom. The value obtained for the total magnetic moment is 0.00 μB/cell. As for the final energy: -23.3 eV per cell. The calculation puts the density of states at the Fermi level at 0.00 states/eV/f.u. Its symmetry is No. 38. Its raw formation energy is -0.730 eV per atom.